# 1
SrPa2CrN4 | PBE | relaxed

The total energy is -70.90 eV per cell. The total magnetization is 4.0 Bohr magnetons per cell. Its crystal system is tetragonal. The density of states at the Fermi level is 0.36 states/eV/atom.

a b c (Å): 5.609 5.609 5.609
angles (deg): 116.35 116.35 96.45
Atoms (fractional coordinates):
Sr 0.000 0.000 0.000
Pa 0.250 0.750 0.500
Pa 0.750 0.250 0.500
Cr 0.500 0.500 0.000
N 0.137 0.520 0.000
N 0.480 0.480 0.617
N 0.520 0.137 0.000
N 0.863 0.863 0.383

***

# 2
TmInPdRh | PBE | relaxed

The formation energy comes out at -798 meV/atom. The total energy is -22.95 eV per cell. The total magnetization is 0.0 Bohr magnetons per cell. Its crystal system is cubic. The density of states at the Fermi level is 0.58 states/eV/atom.

a b c (Å): 4.717 4.717 4.717
angles (deg): 60.00 60.00 60.00
Atoms (fractional coordinates):
Tm 0.000 0.000 0.000
In 0.500 0.500 0.500
Pd 0.250 0.250 0.250
Rh 0.750 0.750 0.750

***

# 3
Ac5PmSn6 | PBE | relaxed

The formation energy comes out at -613 meV/atom. The total energy is -56.66 eV per cell. The total magnetization is 0.1 Bohr magnetons per cell. Its crystal system is monoclinic. The density of states at the Fermi level is 1.08 states/eV/atom.

a b c (Å): 10.135 10.135 6.109
angles (deg): 107.50 107.50 124.13
Atoms (fractional coordinates):
Ac 0.000 0.000 0.000
Ac 0.153 0.847 0.500
Ac 0.318 0.682 0.000
Ac 0.682 0.318 0.000
Ac 0.847 0.153 0.500
Pm 0.500 0.500 0.500
Sn 0.117 0.443 0.280
Sn 0.294 0.294 0.794
Sn 0.443 0.117 0.280
Sn 0.557 0.883 0.720
Sn 0.706 0.706 0.206
Sn 0.883 0.557 0.720